Sc2Be2InPd5 | PBE | relaxed

abc: 3.410 9.535 9.535
angles: 90.00 90.00 90.00
Atoms (fractional coordinates):
Pd  0.500  0.500  0.000
Pd  0.500  0.072  0.783
Pd  0.500  0.283  0.572
Pd  0.500  0.783  0.928
Pd  0.500  0.928  0.217
Pd  0.500  0.000  0.500
Pd  0.500  0.717  0.428
Pd  0.500  0.428  0.283
Pd  0.500  0.217  0.072
Pd  0.500  0.572  0.717
Sc  0.000  0.324  0.824
Sc  0.000  0.676  0.176
Sc  0.000  0.824  0.676
Sc  0.000  0.176  0.324
In  0.000  0.000  0.000
In  0.000  0.500  0.500
Be  0.000  0.880  0.380
Be  0.000  0.120  0.620
Be  0.000  0.620  0.880
Be  0.000  0.380  0.120

As for the total energy: -112.25 eV per cell. The energy of formation from the pure elements comes out at -0.73 eV per atom. Its total magnetization is 0.00 μB per cell.

Pr3Er6Mg | PBE | relaxed

abc: 5.088 11.045 11.269
angles: 91.48 90.00 90.00
Atoms (fractional coordinates):
Er  0.250  0.151  0.192
Er  0.750  0.342  0.298
Er  0.250  0.658  0.702
Er  0.250  0.862  0.311
Er  0.250  0.046  0.896
Er  0.250  0.236  0.494
Er  0.750  0.764  0.506
Er  0.750  0.553  0.898
Er  0.750  0.954  0.104
Er  0.250  0.447  0.102
Er  0.750  0.138  0.689
Er  0.750  0.849  0.808
Mg  0.750  0.053  0.395
Mg  0.250  0.947  0.605
Pr  0.250  0.345  0.794
Pr  0.250  0.754  0.006
Pr  0.750  0.448  0.598
Pr  0.250  0.552  0.402
Pr  0.750  0.655  0.206
Pr  0.750  0.246  0.994

As for the total energy: -85.99 eV per cell. The energy of formation from the pure elements comes out at 0.03 eV per atom. Its total magnetization is 0.00 μB per cell.

PuGa2Au3 | PBE | relaxed

abc: 3.432 5.252 14.603
angles: 90.00 90.00 90.00
Atoms (fractional coordinates):
Au  0.748  0.000  0.820
Au  0.251  0.000  0.500
Au  0.252  0.500  0.320
Au  0.748  0.000  0.180
Au  0.749  0.500  0.000
Au  0.252  0.500  0.680
Pu  0.248  0.000  0.000
Pu  0.752  0.500  0.500
Ga  0.752  0.500  0.176
Ga  0.248  0.000  0.324
Ga  0.248  0.000  0.676
Ga  0.752  0.500  0.824

As for the total energy: -63.20 eV per cell. The energy of formation from the pure elements comes out at -0.23 eV per atom. Its total magnetization is 11.55 μB per cell. The value obtained for the energy above the most stable polymorph in this dataset is 130.0 meV per atom.

Tm4AlAg | PBE | relaxed

abc: 5.092 6.301 11.016
angles: 90.00 103.36 90.00
Atoms (fractional coordinates):
Tm  0.714  0.547  0.429
Tm  0.126  0.786  0.253
Tm  0.435  0.868  0.871
Tm  0.693  0.061  0.386
Tm  0.874  0.286  0.747
Tm  0.286  0.047  0.571
Tm  0.565  0.368  0.129
Tm  0.307  0.561  0.614
Ag  0.570  0.863  0.140
Ag  0.430  0.363  0.860
Al  0.840  0.809  0.680
Al  0.160  0.309  0.320

As for the total energy: -49.14 eV per cell. The energy of formation from the pure elements comes out at -0.01 eV per atom. Its total magnetization is 0.00 μB per cell. The value obtained for the energy above the most stable polymorph in this dataset is 188.6 meV per atom.

MgSc2Al | PBE | relaxed

abc: 5.225 5.225 5.585
angles: 79.31 79.31 36.27
Atoms (fractional coordinates):
Mg  0.250  0.250  0.250
Sc  0.008  0.008  0.985
Sc  0.492  0.492  0.515
Al  0.750  0.750  0.750

As for the total energy: -18.41 eV per cell. The energy of formation from the pure elements comes out at -0.10 eV per atom. Its total magnetization is 0.00 μB per cell. The value obtained for the energy above the most stable polymorph in this dataset is 183.9 meV per atom.

BaMnNb2S | PBE | relaxed

abc: 4.859 4.297 4.859
angles: 90.00 90.00 90.00
Atoms (fractional coordinates):
S  0.000  0.000  0.000
Ba  0.500  0.500  0.500
Nb  0.500  0.000  0.000
Nb  0.000  0.000  0.500
Mn  0.000  0.500  0.000

As for the total energy: -32.64 eV per cell. Its total magnetization is 0.01 μB per cell.